First-principles (GGA-PBEsol) data for crystalline La3Cd at its relaxed geometry, as listed in the Alexandria database.

Unit cell a=6.3574 b=11.1883 c=6.8839 alpha=90.00 beta=90.00 gamma=90.00
With the nearest neighbours (Å) after each atom.
Space group Pnma (No. 62)
Inequivalent atoms, fractional coordinates:
La  0.0274  0.2500  0.1434 x4  3 Cd 3.29-3.56, 4 La 3.32-3.50
La  0.2276  0.5323  0.4059 x8  3 Cd 3.23-3.60, 4 La 3.25-3.53
Cd  0.1028  0.2500  0.6306 x4  9 La 3.23-3.60, 2 Cd 3.58

Computed properties:
Its volume is 30.60 Å³/atom. The value obtained for the formation energy is -0.12 eV/atom. The total magnetization is 0.00 μB/atom.